[1]
Entry from the Alexandria database: crystalline TiAlFeTc at its relaxed geometry (PBE-GGA).

Cell lengths 3.171, 4.161, 4.200 Å; angles 90.00, 90.00, 90.00 degrees
Each line ends with the local moment (μB).
Positions (direct):
Ti  0.500  0.000  0.500  -0.32
Al  0.500  0.500  0.000  -0.02
Fe  0.000  0.000  0.000  1.76
Tc  0.000  0.500  0.500  0.41

Output
- Energy: -32.1 eV/f.u.
- ΔE to the lowest computed polymorph: 0.000 eV/atom
- Spin magnetization: 1.8 Bohr magnetons per cell



[2]
Entry from the Alexandria database: crystalline Ti5Al2Fe2Tc at its relaxed geometry (PBE-GGA).

Cell lengths 3.085, 10.021, 10.021 Å; angles 90.00, 90.00, 90.00 degrees
Each line ends with the local moment (μB).
Positions (direct):
Ti  0.500  0.199  0.069  -0.03
Ti  0.500  0.801  0.931  -0.03
Ti  0.500  0.069  0.801  -0.03
Ti  0.500  0.699  0.431  -0.03
Ti  0.500  0.931  0.199  -0.03
Ti  0.500  0.301  0.569  -0.03
Ti  0.500  0.569  0.699  -0.03
Ti  0.500  0.431  0.301  -0.03
Ti  0.500  0.500  0.000  -0.04
Ti  0.500  0.000  0.500  -0.04
Al  0.000  0.674  0.174  0.00
Al  0.000  0.326  0.826  0.00
Al  0.000  0.174  0.326  0.00
Al  0.000  0.826  0.674  0.00
Fe  0.000  0.130  0.630  0.14
Fe  0.000  0.870  0.370  0.14
Fe  0.000  0.630  0.870  0.14
Fe  0.000  0.370  0.130  0.14
Tc  0.000  0.000  0.000  0.01
Tc  0.000  0.500  0.500  0.01

Output
- Energy: -76.6 eV/f.u.
- Spin magnetization: 0.2 Bohr magnetons per cell



[3]
Entry from the Alexandria database: crystalline TiAlFeTc at its relaxed geometry (PBE-GGA).

Cell lengths 4.272, 4.272, 4.272 Å; angles 60.00, 60.00, 60.00 degrees
Each line ends with the local moment (μB).
Positions (direct):
Al  0.750  0.750  0.750  -0.02
Ti  0.250  0.250  0.250  -0.35
Tc  0.500  0.500  0.500  0.48
Fe  0.000  0.000  0.000  1.56

Output
- Energy: -32.0 eV/f.u.
- ΔE to the lowest computed polymorph: 0.017 eV/atom
- Spin magnetization: 1.7 Bohr magnetons per cell



[4]
Entry from the Alexandria database: crystalline Ti3Al3Fe2Tc at its relaxed geometry (PBE-GGA).

Cell lengths 2.971, 7.147, 7.147 Å; angles 120.00, 90.00, 90.00 degrees
Positions (direct):
Ti  0.500  0.707  0.000
Ti  0.500  0.000  0.707
Ti  0.500  0.293  0.293
Al  0.000  0.624  0.624
Al  0.000  0.000  0.376
Al  0.000  0.376  0.000
Fe  0.500  0.667  0.333
Fe  0.500  0.333  0.667
Tc  0.000  0.000  0.000

Output
- Energy: -64.8 eV/f.u.
- Spin magnetization: 0.0 Bohr magnetons per cell



[5]
Entry from the Alexandria database: crystalline AlVFeTc at its relaxed geometry (PBE-GGA).

Cell lengths 4.187, 4.187, 4.187 Å; angles 60.00, 60.00, 60.00 degrees
Each line ends with the local moment (μB).
Positions (direct):
Al  0.000  0.000  0.000  -0.01
V  0.500  0.500  0.500  -0.34
Tc  0.250  0.250  0.250  0.28
Fe  0.750  0.750  0.750  1.01

Output
- Energy: -33.1 eV/f.u.
- ΔE to the lowest computed polymorph: 0.000 eV/atom
- Spin magnetization: 0.9 Bohr magnetons per cell



[6]
Entry from the Alexandria database: crystalline AlVFeTc at its relaxed geometry (PBE-GGA).

Cell lengths 2.945, 2.945, 5.961 Å; angles 90.00, 90.00, 90.00 degrees
Positions (direct):
Al  0.500  0.500  0.620
V  0.500  0.500  0.094
Fe  0.000  0.000  0.866
Tc  0.000  0.000  0.348

Output
- Energy: -33.0 eV/f.u.
- ΔE to the lowest computed polymorph: 0.021 eV/atom
- Spin magnetization: 0.0 Bohr magnetons per cell



[7]
Entry from the Alexandria database: crystalline AlZnFeTc at its relaxed geometry (PBE-GGA).

Cell lengths 4.239, 4.239, 4.239 Å; angles 60.00, 60.00, 60.00 degrees
Each line ends with the local moment (μB).
Positions (direct):
Zn  0.750  0.750  0.750  0.00
Al  0.500  0.500  0.500  -0.02
Tc  0.000  0.000  0.000  0.36
Fe  0.250  0.250  0.250  1.99

Output
- Energy: -23.9 eV/f.u.
- Spin magnetization: 2.3 Bohr magnetons per cell



[8]
Entry from the Alexandria database: crystalline Zr2Al2Fe5Tc at its relaxed geometry (PBE-GGA).

Cell lengths 3.259, 9.357, 9.357 Å; angles 90.00, 90.00, 90.00 degrees
Each line ends with the local moment (μB).
Positions (direct):
Zr  0.000  0.672  0.172  -0.20
Zr  0.000  0.328  0.828  -0.20
Zr  0.000  0.172  0.328  -0.20
Zr  0.000  0.828  0.672  -0.20
Al  0.000  0.126  0.626  -0.03
Al  0.000  0.874  0.374  -0.03
Al  0.000  0.626  0.874  -0.03
Al  0.000  0.374  0.126  -0.03
Fe  0.500  0.195  0.056  1.31
Fe  0.500  0.805  0.944  1.31
Fe  0.500  0.056  0.805  1.31
Fe  0.500  0.695  0.444  1.31
Fe  0.500  0.944  0.195  1.31
Fe  0.500  0.305  0.556  1.31
Fe  0.500  0.556  0.695  1.31
Fe  0.500  0.444  0.305  1.31
Fe  0.500  0.500  0.000  -0.68
Fe  0.500  0.000  0.500  -0.68
Tc  0.000  0.000  0.000  -0.13
Tc  0.000  0.500  0.500  -0.13

Output
- Energy: -77.7 eV/f.u.
- Spin magnetization: 7.2 Bohr magnetons per cell



[9]
Entry from the Alexandria database: crystalline AlFeTe at its relaxed geometry (PBE-GGA).

Cell lengths 3.327, 3.327, 5.808 Å; angles 90.00, 90.00, 120.00 degrees
Each line ends with the local moment (μB).
Positions (direct):
Te  0.667  0.333  0.625  -0.04
Fe  0.333  0.667  0.328  1.87
Al  0.000  0.000  0.047  -0.03

Output
- E_form (uncorrected): 0.158 eV per atom
- Energy: -14.9 eV/f.u.
- ΔE to the lowest computed polymorph: 0.157 eV/atom
- Spin magnetization: 1.7 Bohr magnetons per cell



[10]
Entry from the Alexandria database: crystalline AlFe3Te at its relaxed geometry (PBE-GGA).

Cell lengths 4.707, 4.707, 4.707 Å; angles 90.00, 90.00, 90.00 degrees
Each line ends with the local moment (μB).
Positions (direct):
Te  0.000  0.000  0.000  -0.06
Fe  0.000  0.500  0.000  2.43
Fe  0.000  0.000  0.500  2.35
Fe  0.500  0.000  0.000  2.64
Al  0.500  0.500  0.500  0.02

Output
- E_form (uncorrected): 1.134 eV per atom
- Energy: -26.6 eV/f.u.
- ΔE to the lowest computed polymorph: 0.000 eV/atom
- Spin magnetization: 7.1 Bohr magnetons per cell



[11]
Entry from the Alexandria database: crystalline AlFeTe at its relaxed geometry (PBE-GGA).

Cell lengths 6.326, 6.326, 3.072 Å; angles 75.95, 75.95, 28.10 degrees
Each line ends with the local moment (μB).
Positions (direct):
Te  0.708  0.708  0.292  -0.04
Fe  0.338  0.338  0.662  1.21
Al  0.954  0.954  0.046  0.01

Output
- E_form (uncorrected): 0.197 eV per atom
- Energy: -14.8 eV/f.u.
- ΔE to the lowest computed polymorph: 0.196 eV/atom
- Spin magnetization: 1.2 Bohr magnetons per cell



[12]
Entry from the Alexandria database: crystalline AlFe4Te at its relaxed geometry (PBE-GGA).

Cell lengths 4.943, 4.943, 4.943 Å; angles 60.00, 60.00, 60.00 degrees
Each line ends with the local moment (μB).
Positions (direct):
Al  0.000  0.000  0.000  -0.06
Fe  0.626  0.626  0.121  2.41
Fe  0.626  0.121  0.626  2.41
Fe  0.626  0.626  0.626  2.41
Fe  0.121  0.626  0.626  2.41
Te  0.250  0.250  0.250  0.01

Output
- E_form (uncorrected): 0.194 eV per atom
- Energy: -39.6 eV/f.u.
- Spin magnetization: 9.5 Bohr magnetons per cell



[13]
Entry from the Alexandria database: crystalline AlFeTe4 at its relaxed geometry (PBE-GGA).

Cell lengths 6.325, 6.325, 6.325 Å; angles 60.00, 60.00, 60.00 degrees
Each line ends with the local moment (μB).
Positions (direct):
Al  0.750  0.750  0.750  0.00
Fe  0.000  0.000  0.000  3.35
Te  0.876  0.375  0.375  0.05
Te  0.375  0.375  0.876  0.05
Te  0.375  0.876  0.375  0.05
Te  0.375  0.375  0.375  0.05

Output
- E_form (uncorrected): 0.883 eV per atom
- Energy: -19.5 eV/f.u.
- Spin magnetization: 3.9 Bohr magnetons per cell



[14]
Entry from the Alexandria database: crystalline Al2Fe2Te at its relaxed geometry (PBE-GGA).

Cell lengths 7.087, 7.087, 2.994 Å; angles 90.00, 90.00, 90.00 degrees
Each line ends with the local moment (μB).
Positions (direct):
Te  0.000  0.000  0.000  -0.04
Te  0.500  0.500  0.000  -0.04
Fe  0.344  0.844  0.000  1.27
Fe  0.844  0.656  0.000  1.31
Fe  0.656  0.156  0.000  1.27
Fe  0.156  0.344  0.000  1.31
Al  0.134  0.634  0.500  -0.05
Al  0.634  0.866  0.500  -0.05
Al  0.866  0.366  0.500  -0.05
Al  0.366  0.134  0.500  -0.05

Output
- E_form (uncorrected): 0.086 eV per atom
- Energy: -27.1 eV/f.u.
- Spin magnetization: 4.5 Bohr magnetons per cell



[15]
Entry from the Alexandria database: crystalline Al4FeTe at its relaxed geometry (PBE-GGA).

Cell lengths 5.356, 5.356, 5.356 Å; angles 60.00, 60.00, 60.00 degrees
Each line ends with the local moment (μB).
Positions (direct):
Al  0.624  0.624  0.128  0.00
Al  0.624  0.128  0.624  0.00
Al  0.624  0.624  0.624  0.00
Al  0.128  0.624  0.624  0.00
Fe  0.250  0.250  0.250  2.92
Te  0.000  0.000  0.000  0.03

Output
- E_form (uncorrected): 0.347 eV per atom
- Energy: -24.5 eV/f.u.
- Spin magnetization: 2.9 Bohr magnetons per cell



[16]
Entry from the Alexandria database: crystalline AlFeTe at its relaxed geometry (PBE-GGA).

Cell lengths 3.418, 3.414, 12.213 Å; angles 90.00, 90.00, 120.04 degrees
Each line ends with the local moment (μB).
Positions (direct):
Al  0.557  0.113  0.000  -0.05
Al  0.551  0.101  0.500  -0.01
Te  0.557  0.113  0.253  -0.08
Te  0.557  0.113  0.747  -0.08
Fe  0.223  0.446  0.876  1.48
Fe  0.223  0.446  0.124  1.48

Output
- E_form (uncorrected): 0.196 eV per atom
- Energy: -14.8 eV/f.u.
- ΔE to the lowest computed polymorph: 0.195 eV/atom
- Spin magnetization: 2.6 Bohr magnetons per cell



[17]
Entry from the Alexandria database: crystalline AlFeTe at its relaxed geometry (PBE-GGA).

Cell lengths 4.183, 4.183, 4.183 Å; angles 60.00, 60.00, 60.00 degrees
Positions (direct):
Te  0.000  0.000  0.000
Fe  0.750  0.750  0.750
Al  0.500  0.500  0.500

Output
- E_form (uncorrected): 0.001 eV per atom
- Energy: -15.3 eV/f.u.
- ΔE to the lowest computed polymorph: 0.000 eV/atom
- Spin magnetization: 0.0 Bohr magnetons per cell



[18]
Entry from the Alexandria database: crystalline Al3FeTe at its relaxed geometry (PBE-GGA).

Cell lengths 4.649, 4.649, 4.649 Å; angles 90.00, 90.00, 90.00 degrees
Each line ends with the local moment (μB).
Positions (direct):
Te  0.500  0.500  0.500  0.14
Fe  0.000  0.000  0.000  1.03
Al  0.000  0.500  0.000  0.00
Al  0.000  0.000  0.500  -0.01
Al  0.500  0.000  0.000  -0.01

Output
- E_form (uncorrected): 0.208 eV per atom
- Energy: -21.8 eV/f.u.
- ΔE to the lowest computed polymorph: 0.000 eV/atom
- Spin magnetization: 1.2 Bohr magnetons per cell



[19]
Entry from the Alexandria database: crystalline AlFe3Te at its relaxed geometry (PBE-GGA).

Cell lengths 4.286, 4.286, 4.286 Å; angles 90.00, 90.00, 90.00 degrees
Positions (direct):
Te  0.500  0.500  0.500
Fe  0.000  0.500  0.000
Fe  0.000  0.000  0.500
Fe  0.500  0.000  0.000
Al  0.000  0.000  0.000

Output
- E_form (uncorrected): 1.219 eV per atom
- Energy: -26.2 eV/f.u.
- ΔE to the lowest computed polymorph: 0.086 eV/atom
- Spin magnetization: 0.0 Bohr magnetons per cell



[20]
Entry from the Alexandria database: crystalline AlTl2FeTe at its relaxed geometry (PBE-GGA).

Cell lengths 6.277, 4.746, 6.277 Å; angles 90.00, 90.00, 90.00 degrees
Each line ends with the local moment (μB).
Positions (direct):
Tl  0.000  0.000  0.500  -0.01
Tl  0.500  0.000  0.000  -0.02
Te  0.000  0.000  0.000  0.00
Fe  0.000  0.500  0.000  2.63
Al  0.500  0.500  0.500  -0.04

Output
- E_form (uncorrected): 0.851 eV per atom
- Energy: -15.8 eV/f.u.
- Spin magnetization: 2.3 Bohr magnetons per cell